Record 1
This record from Alexandria via LeMat-Bulk describes crystalline InNi3N at its relaxed geometry. The functional is PBE-GGA.

The structure in extended XYZ format:
```
20
Lattice="4.465 -5.534 0.000 4.465 5.534 0.000 -0.036 0.000 4.921" Properties=species:S:1:pos:R:3 pbc="T T T"
In 1.269 0.848 2.012
In 1.251 -0.848 4.472
In 7.643 0.848 0.449
In 7.625 -0.848 2.909
Ni 3.297 3.465 0.474
Ni 3.429 2.077 2.840
Ni 3.397 0.763 0.361
Ni 5.615 3.465 1.987
Ni 5.447 2.077 4.541
Ni 3.379 -0.763 2.821
Ni 5.515 0.763 2.099
Ni 3.447 -2.077 0.380
Ni 3.278 -3.465 2.934
Ni 5.497 -0.763 4.560
Ni 5.465 -2.077 2.080
Ni 5.597 -3.465 4.447
N 4.456 2.240 1.230
N 4.438 0.709 3.691
N 4.456 -0.709 1.230
N 4.438 -2.240 3.691
```

Summary:
**D(E_F)**: 0.606 states/eV per atom
**Space group**: C2/c (15)
**E_form (uncorrected)**: 2.9 kcal/mol of atoms

Record 2
This record from Alexandria via LeMat-Bulk describes crystalline InNi3N at its relaxed geometry. The functional is PBE-GGA.

The structure in extended XYZ format:
```
10
Lattice="3.398 1.962 3.201 -3.398 1.962 3.201 0.000 -3.923 3.201" Properties=species:S:1:pos:R:3 pbc="T T T"
In 0.000 0.000 0.000
In 0.000 0.000 4.801
Ni -2.502 -0.409 4.001
Ni -0.896 -2.371 5.601
Ni 1.605 -1.962 4.001
Ni -1.605 1.962 5.601
Ni 0.896 2.371 4.001
Ni 2.502 0.409 5.601
N 0.000 0.000 2.401
N 0.000 0.000 7.202
```

Summary:
**D(E_F)**: 0.416 states/eV per atom
**Space group**: R-3c (167)
**E_form (uncorrected)**: 7.8 kcal/mol of atoms

Record 3
This record from Alexandria via LeMat-Bulk describes crystalline InNiN2 at its relaxed geometry. The functional is PBE-GGA.

The structure in extended XYZ format:
```
8
Lattice="-2.325 2.325 4.817 2.325 -2.325 4.817 2.325 2.325 -4.817" Properties=species:S:1:pos:R:3 pbc="T T T"
In 0.000 0.000 0.000
In 0.000 2.325 2.409
Ni 2.325 0.000 2.409
Ni 0.000 0.000 4.817
N 1.162 -0.895 3.613
N 1.429 1.162 1.204
N 1.162 3.220 -1.204
N 0.895 1.162 6.022
```

Summary:
**D(E_F)**: 1.096 states/eV per atom
**Space group**: I-42d (122)
**E_form (uncorrected)**: 11.2 kcal/mol of atoms

Record 4
This record from Alexandria via LeMat-Bulk describes crystalline InNi3N at its relaxed geometry. The functional is PBE-GGA.

The structure in extended XYZ format:
```
5
Lattice="3.871 0.000 0.000 0.000 3.871 0.000 0.000 0.000 3.871" Properties=species:S:1:pos:R:3 pbc="T T T"
In 0.000 0.000 0.000
Ni 0.000 1.935 1.935
Ni 1.935 0.000 1.935
Ni 1.935 1.935 0.000
N 1.935 1.935 1.935
```

Summary:
**D(E_F)**: 0.294 states/eV per atom
**Space group**: Pm-3m (221)
**E_form (uncorrected)**: -1.9 kcal/mol of atoms

Record 5
This record from Alexandria via LeMat-Bulk describes crystalline InNi3N at its relaxed geometry. The functional is PBE-GGA.

The structure in extended XYZ format:
```
10
Lattice="6.717 -1.451 0.000 6.717 1.451 0.000 -1.655 0.000 6.881" Properties=species:S:1:pos:R:3 pbc="T T T"
In 1.427 0.000 1.225
In 10.353 0.000 5.656
Ni -0.654 0.000 4.747
Ni 1.584 0.000 3.947
Ni 4.074 0.000 0.699
Ni 7.706 0.000 6.182
Ni 10.196 0.000 2.933
Ni 12.434 0.000 2.134
N 4.606 0.000 2.431
N 7.174 0.000 4.450
```

Summary:
**D(E_F)**: 0.341 states/eV per atom
**Space group**: C2/m (12)
**E_form (uncorrected)**: 3.6 kcal/mol of atoms

Record 6
This record from Alexandria via LeMat-Bulk describes crystalline InNi3N at its relaxed geometry. The functional is PBE-GGA.

The structure in extended XYZ format:
```
10
Lattice="3.944 0.000 0.000 0.000 3.732 0.000 0.000 0.000 8.032" Properties=species:S:1:pos:R:3 pbc="T T T"
In 0.986 0.000 1.095
In 2.958 0.000 6.937
Ni 0.986 0.000 5.015
Ni 0.986 1.866 3.035
Ni 0.986 1.866 6.965
Ni 2.958 0.000 3.017
Ni 2.958 1.866 1.068
Ni 2.958 1.866 4.997
N 0.986 1.866 5.050
N 2.958 1.866 2.982
```

Summary:
**D(E_F)**: 0.146 states/eV per atom
**Space group**: Pmma (51)
**E_form (uncorrected)**: 0.2 kcal/mol of atoms

Record 7
This record from Alexandria via LeMat-Bulk describes crystalline InNi3N at its relaxed geometry. The functional is PBE-GGA.

The structure in extended XYZ format:
```
5
Lattice="3.618 0.000 0.000 0.000 3.618 0.000 0.000 0.000 6.264" Properties=species:S:1:pos:R:3 pbc="T T T"
In 0.000 0.000 0.000
Ni 0.000 0.000 3.812
Ni 0.000 1.809 2.114
Ni 1.809 0.000 2.114
N 1.809 1.809 2.152
```

Summary:
**D(E_F)**: 1.115 states/eV per atom
**Space group**: P4mm (99)
**E_form (uncorrected)**: 8.6 kcal/mol of atoms

Record 8
This record from Alexandria via LeMat-Bulk describes crystalline InNi3N at its relaxed geometry. The functional is PBE-GGA.

The structure in extended XYZ format:
```
20
Lattice="0.000 5.078 5.078 5.078 0.000 5.078 5.078 5.078 0.000" Properties=species:S:1:pos:R:3 pbc="T T T"
In 0.000 0.000 0.000
In 2.539 2.539 0.000
In 2.539 0.000 2.539
In 0.000 2.539 2.539
Ni 3.809 3.809 1.941
Ni 3.809 1.941 3.809
Ni 5.677 3.809 3.809
Ni 6.348 6.348 4.480
Ni 6.348 4.480 6.348
Ni 8.216 6.348 6.348
Ni 1.941 3.809 3.809
Ni 3.809 5.677 3.809
Ni 3.809 3.809 5.677
Ni 4.480 6.348 6.348
Ni 6.348 8.216 6.348
Ni 6.348 6.348 8.216
N 5.078 2.539 2.539
N 2.539 5.078 2.539
N 2.539 2.539 5.078
N 5.078 5.078 5.078
```

Summary:
**D(E_F)**: 0.471 states/eV per atom
**Space group**: Fd-3m (227)
**E_form (uncorrected)**: -1.3 kcal/mol of atoms